{
  "formula": "MgAgPb2",
  "functional": "PBE",
  "state": "relaxed",
  "lattice": [[-4.2933, -1.4297, 2.9365], [3.9771, -2.9593, 2.1270], [0.7081, 2.6086, 2.3053]],
  "species": ["Mg", "Pb", "Pb", "Ag"],
  "fractional_positions": [[0.0000, 0.5000, 0.5000], [0.5000, 0.5000, 0.0000], [0.0000, 0.0000, 0.0000], [0.5000, 0.0000, 0.5000]],
  "crystal_system": "orthorhombic",
  "ef_ev_per_atom": 0.02,
  "magnetic_moment_mub_per_cell": 0.00
}